No. 1
DFT (PBE) results for a relaxed Zn4Cd2Ag5 crystal.

a = 5.9600 Å, b = 5.9600 Å, c = 8.3600 Å
α = 120.71°, β = 120.71°, γ = 56.68°
Fractional positions:
Zn 0.2260 0.2260 0.1443
Zn 0.2429 0.2429 0.4848
Zn 0.7571 0.7571 0.5152
Zn 0.7740 0.7740 0.8557
Cd 0.2353 0.2353 0.8078
Cd 0.7647 0.7647 0.1922
Ag 0.2487 0.7430 0.8131
Ag 0.2570 0.7513 0.1869
Ag 0.5000 0.5000 0.5000
Ag 0.7430 0.2487 0.8131
Ag 0.7513 0.2570 0.1869

ΔE to the lowest computed polymorph: 7 meV per atom
Volume: 202.1 Å³/cell
ρ: 8.43 g/cm³

---

No. 2
DFT (PBE) results for a relaxed ZnCd2Ag4 crystal.

a = 11.8022 Å, b = 11.8022 Å, c = 3.8337 Å
α = 90.00°, β = 90.00°, γ = 165.30°
Fractional positions:
Zn 0.0000 0.0000 0.0000
Cd 0.3042 0.6958 0.5000
Cd 0.6958 0.3042 0.5000
Ag 0.1265 0.8735 0.0000
Ag 0.4396 0.5604 0.5000
Ag 0.5604 0.4396 0.5000
Ag 0.8735 0.1265 0.0000

ΔE to the lowest computed polymorph: 0 meV per atom
Volume: 135.5 Å³/cell
ρ: 8.84 g/cm³

---

No. 3
DFT (PBE) results for a relaxed Zn2CdAg crystal.

a = 9.1797 Å, b = 9.1797 Å, c = 9.1797 Å
α = 18.91°, β = 18.91°, γ = 18.91°
Fractional positions:
Zn 0.0000 0.0000 0.0000
Zn 0.2591 0.2591 0.2591
Cd 0.7546 0.7546 0.7546
Ag 0.5124 0.5124 0.5124

Total DFT energy (no corrections): -0.1116 Ry per atom
Volume: 71.0 Å³/cell
ρ: 8.21 g/cm³